1.
This record from OQMD describes a geometry-optimized BaPrCuTe2S structure. The functional is PBE-GGA.

VASP energy: -58.23 eV/cell

abc: 7.786 7.786 10.950
angles: 90.00 90.00 147.54
Fractional positions:
Ba  0.219  0.781  0.250
Ba  0.781  0.219  0.750
Cu  0.974  0.026  0.250
Cu  0.026  0.974  0.750
Pr  0.500  0.500  0.000
Pr  0.500  0.500  0.500
S  0.559  0.441  0.250
S  0.441  0.559  0.750
Te  0.855  0.145  0.069
Te  0.855  0.145  0.431
Te  0.145  0.855  0.569
Te  0.145  0.855  0.931

---

2.
This record from OQMD describes a geometry-optimized BaPrCuTeS2 structure. The functional is PBE-GGA.

VASP energy: -61.65 eV/cell

abc: 7.684 7.684 11.308
angles: 90.00 90.00 148.39
Fractional positions:
Ba  0.218  0.782  0.250
Ba  0.782  0.218  0.750
Cu  0.521  0.479  0.250
Cu  0.479  0.521  0.750
Pr  0.000  0.000  0.000
Pr  0.000  0.000  0.500
S  0.616  0.384  0.084
S  0.616  0.384  0.416
S  0.384  0.616  0.584
S  0.384  0.616  0.916
Te  0.906  0.094  0.250
Te  0.094  0.906  0.750

---

3.
This record from OQMD describes a geometry-optimized BaPrCu2Sb2 structure. The functional is PBE-GGA.

VASP energy: -26.70 eV/cell

abc: 4.524 4.524 8.984
angles: 90.00 90.00 120.00
Fractional positions:
Ba  0.000  0.000  0.750
Cu  0.333  0.667  0.052
Cu  0.667  0.333  0.451
Pr  0.000  0.000  0.250
Sb  0.667  0.333  0.018
Sb  0.333  0.667  0.481